(1)
HgAsOs2: relaxed, PBE.

Computed properties:
calculated formation energy = 226 kJ/mol of formula units
density of states at the Fermi level = 1.5 states/eV/cell
relative energy among the computed polymorphs = 190.3 meV per atom
electronic total energy = -6.27 eV/atom

```
data_HgAsOs2
_chemical_formula_sum 'Hg1 As1 Os2'
_space_group_name_H-M_alt 'P 1'
_space_group_IT_number 1
_cell_length_a 8.8747
_cell_length_b 8.8747
_cell_length_c 8.8747
_cell_angle_alpha 19.05
_cell_angle_beta 19.05
_cell_angle_gamma 19.05
loop_
_space_group_symop_operation_xyz
'x,y,z'
loop_
_atom_site_label
_atom_site_type_symbol
_atom_site_fract_x
_atom_site_fract_y
_atom_site_fract_z
As1 As 0.2500 0.2500 0.2500
Os1 Os 0.9875 0.9875 0.9875
Os2 Os 0.5125 0.5125 0.5125
Hg1 Hg 0.7500 0.7500 0.7500
```



(2)
SbPbO2F: relaxed, PBE.

Computed properties:
density of states at the Fermi level = 1.1 states/eV/cell
formation energy (no corrections) = -574.0 kJ/mol of formula units
electronic total energy = -5.11 eV/atom

```
data_SbPbO2F
_chemical_formula_sum 'Sb1 Pb1 O2 F1'
_space_group_name_H-M_alt 'P 1'
_space_group_IT_number 1
_cell_length_a 4.3536
_cell_length_b 4.3536
_cell_length_c 4.4425
_cell_angle_alpha 90.00
_cell_angle_beta 90.00
_cell_angle_gamma 90.00
loop_
_space_group_symop_operation_xyz
'x,y,z'
loop_
_atom_site_label
_atom_site_type_symbol
_atom_site_fract_x
_atom_site_fract_y
_atom_site_fract_z
Pb1 Pb 0.5000 0.5000 0.5000
Sb1 Sb 0.0000 0.0000 0.0000
O1 O 0.0000 0.5000 0.0000
O2 O 0.5000 0.0000 0.0000
F1 F 0.0000 0.0000 0.5000
```



(3)
CSe4: relaxed, PBE.

Computed properties:
density of states at the Fermi level = 4.7 states/eV/cell
formation energy (no corrections) = 584.9 kJ/mol of formula units
relative energy among the computed polymorphs = 1.4 meV per atom
electronic total energy = -3.42 eV/atom

```
data_CSe4
_chemical_formula_sum 'C1 Se4'
_space_group_name_H-M_alt 'P 1'
_space_group_IT_number 1
_cell_length_a 4.4643
_cell_length_b 4.4643
_cell_length_c 4.4643
_cell_angle_alpha 90.00
_cell_angle_beta 90.00
_cell_angle_gamma 90.00
loop_
_space_group_symop_operation_xyz
'x,y,z'
loop_
_atom_site_label
_atom_site_type_symbol
_atom_site_fract_x
_atom_site_fract_y
_atom_site_fract_z
C1 C 0.5000 0.5000 0.5000
Se1 Se 0.0000 0.0000 0.0000
Se2 Se 0.5000 0.0000 0.5000
Se3 Se 0.0000 0.5000 0.5000
Se4 Se 0.5000 0.5000 0.0000
```



(4)
Ti2PdRh3: relaxed, PBE.

Computed properties:
calculated formation energy = -273 kJ/mol of formula units
density of states at the Fermi level = 6.7 states/eV/cell
electronic total energy = -7.65 eV/atom

```
data_Ti2PdRh3
_chemical_formula_sum 'Ti4 Pd2 Rh6'
_space_group_name_H-M_alt 'P 1'
_space_group_IT_number 1
_cell_length_a 5.4999
_cell_length_b 5.5027
_cell_length_c 7.3059
_cell_angle_alpha 112.12
_cell_angle_beta 112.11
_cell_angle_gamma 90.00
loop_
_space_group_symop_operation_xyz
'x,y,z'
loop_
_atom_site_label
_atom_site_type_symbol
_atom_site_fract_x
_atom_site_fract_y
_atom_site_fract_z
Ti1 Ti 0.4080 0.1441 0.2882
Ti2 Ti 0.5920 0.8559 0.7118
Ti3 Ti 0.1199 0.3559 0.7118
Ti4 Ti 0.8801 0.6441 0.2882
Pd1 Pd 0.0000 0.2500 0.0000
Pd2 Pd 0.0000 0.7500 0.0000
Rh1 Rh 0.4090 0.6678 0.3357
Rh2 Rh 0.5910 0.3322 0.6643
Rh3 Rh 0.0733 0.8322 0.6643
Rh4 Rh 0.9267 0.1678 0.3357
Rh5 Rh 0.5000 0.7500 0.0000
Rh6 Rh 0.5000 0.2500 0.0000
```



(5)
Rb2TiBr4Cl2: relaxed, PBE.

Computed properties:
density of states at the Fermi level = 0.0 states/eV/cell
formation energy (no corrections) = -1351.7 kJ/mol of formula units
electronic total energy = -3.80 eV/atom

```
data_Rb2TiBr4Cl2
_chemical_formula_sum 'Rb2 Ti1 Br4 Cl2'
_space_group_name_H-M_alt 'P 1'
_space_group_IT_number 1
_cell_length_a 6.4802
_cell_length_b 7.3189
_cell_length_c 7.3189
_cell_angle_alpha 61.39
_cell_angle_beta 82.51
_cell_angle_gamma 82.51
loop_
_space_group_symop_operation_xyz
'x,y,z'
loop_
_atom_site_label
_atom_site_type_symbol
_atom_site_fract_x
_atom_site_fract_y
_atom_site_fract_z
Rb1 Rb 0.2394 0.6709 0.6709
Rb2 Rb 0.7606 0.3291 0.3291
Ti1 Ti 0.5000 0.0000 0.0000
Br1 Br 0.3003 0.6746 0.1567
Br2 Br 0.6997 0.8433 0.3254
Br3 Br 0.6997 0.3254 0.8433
Br4 Br 0.3003 0.1567 0.6746
Cl1 Cl 0.2428 0.1532 0.1532
Cl2 Cl 0.7572 0.8468 0.8468
```



(6)
SrAuC2: relaxed, PBE.

Computed properties:
calculated formation energy = 29 kJ/mol of formula units
density of states at the Fermi level = 5.1 states/eV/cell
relative energy among the computed polymorphs = 154.0 meV per atom
electronic total energy = -5.78 eV/atom

```
data_SrAuC2
_chemical_formula_sum 'Sr4 Au4 C8'
_space_group_name_H-M_alt 'P 1'
_space_group_IT_number 1
_cell_length_a 8.8433
_cell_length_b 5.4692
_cell_length_c 6.0223
_cell_angle_alpha 90.00
_cell_angle_beta 97.89
_cell_angle_gamma 90.00
loop_
_space_group_symop_operation_xyz
'x,y,z'
loop_
_atom_site_label
_atom_site_type_symbol
_atom_site_fract_x
_atom_site_fract_y
_atom_site_fract_z
Sr1 Sr 0.2179 0.0000 0.2134
Sr2 Sr 0.7821 0.0000 0.7866
Sr3 Sr 0.2179 0.5000 0.7134
Sr4 Sr 0.7821 0.5000 0.2866
C1 C 0.9444 0.0000 0.4124
C2 C 0.0556 0.0000 0.5876
C3 C 0.9444 0.5000 0.9124
C4 C 0.0556 0.5000 0.0876
C5 C 0.1568 0.0000 0.7657
C6 C 0.8432 0.0000 0.2343
C7 C 0.1568 0.5000 0.2657
C8 C 0.8432 0.5000 0.7343
Au1 Au 0.4227 0.0000 0.7719
Au2 Au 0.5773 0.0000 0.2281
Au3 Au 0.4227 0.5000 0.2719
Au4 Au 0.5773 0.5000 0.7281
```